Density functional theory data (GGA-PBE) for crystalline LuIn3 at its relaxed geometry.

Output
Energy of formation from the pure elements   -226.4 meV per atom

Geometry as CIF:
```
data_LuIn3
_chemical_formula_sum 'Lu2 In6'
_cell_length_a 3.543
_cell_length_b 10.785
_cell_length_c 5.366
_cell_angle_alpha 90.00
_cell_angle_beta 90.00
_cell_angle_gamma 90.00
_symmetry_space_group_name_H-M 'I m m 2'
_symmetry_Int_Tables_number 44
_symmetry_space_group_name_Hall 'I 2 -2'
loop_
_atom_site_label
_atom_site_fract_x
_atom_site_fract_y
_atom_site_fract_z
_atom_site_occupancy
Lu1 0.000 0.000 0.000 1
In1 0.000 0.253 0.349 1
In2 0.000 0.500 0.990 1
```